{"formula": "LiTaPb2", "functional": "PBE", "state": "optimized geometry", "lattice_angstrom": [[-2.632, 0.552, -1.718], [0.282, -3.172, 0.197], [-5.014, 0.033, 7.690]], "species": ["Ta", "Pb", "Pb", "Li"], "fractional_positions": [[0.500, 0.500, 0.250], [0.000, 0.000, 0.499], [0.000, 0.000, 0.001], [0.500, 0.500, 0.750]], "sg": "Cmmm", "total_energy_ev_per_fu": -20.49, "total_magnetization_mub_per_fu": 0.00}